An optimized crystal structure of YZn2Cd, computed with PBE.

Unit cell a=3.384 b=3.384 c=7.202 alpha=90.00 beta=90.00 gamma=90.00
Sites, in units of the cell vectors:
Y1 0.000 0.000 0.000
Zn1 0.000 0.000 0.454
Zn2 0.500 0.500 0.269
Cd1 0.500 0.500 0.694

Summary:
formation enthalpy at 0 K	-0.6	eV/f.u.
space-group type	No. 99



An optimized crystal structure of YZnCd2, computed with PBE.

Unit cell a=3.461 b=3.461 c=7.471 alpha=90.00 beta=90.00 gamma=90.00
Sites, in units of the cell vectors:
Y1 0.000 0.000 0.000
Zn1 0.500 0.500 0.249
Cd1 0.000 0.000 0.462
Cd2 0.500 0.500 0.713

Summary:
formation enthalpy at 0 K	-0.7	eV/f.u.
space-group type	No. 99



An optimized crystal structure of Y4ZnCd, computed with PBE.

Unit cell a=6.298 b=6.298 c=6.298 alpha=60.00 beta=60.00 gamma=60.00
Sites, in units of the cell vectors:
Y1 0.125 0.125 0.125
Y2 0.125 0.125 0.625
Y3 0.125 0.625 0.125
Y4 0.625 0.125 0.125
Zn1 0.750 0.750 0.750
Cd1 0.500 0.500 0.500

Summary:
formation enthalpy at 0 K	2.4	eV/f.u.
E above lowest polymorph	615.6	meV per atom
space-group type	No. 216



An optimized crystal structure of YZn3Cd, computed with PBE.

Unit cell a=5.842 b=5.529 c=5.992 alpha=90.00 beta=92.25 gamma=90.00
Sites, in units of the cell vectors:
Y1 0.170 0.250 0.145
Y2 0.830 0.750 0.855
Zn1 0.357 0.750 0.038
Zn2 0.368 0.002 0.669
Zn3 0.368 0.498 0.669
Zn4 0.632 0.502 0.331
Zn5 0.632 0.998 0.331
Zn6 0.643 0.250 0.962
Cd1 0.051 0.750 0.374
Cd2 0.949 0.250 0.626

Summary:
formation enthalpy at 0 K	-1.1	eV/f.u.
E above lowest polymorph	0.0	meV per atom
space-group type	No. 11



An optimized crystal structure of YZnCd2, computed with PBE.

Unit cell a=4.032 b=4.876 c=9.255 alpha=90.00 beta=90.00 gamma=90.00
Sites, in units of the cell vectors:
Y1 0.000 0.000 0.000
Y2 0.500 0.500 0.500
Zn1 0.000 0.000 0.500
Zn2 0.500 0.500 0.000
Cd1 0.000 0.500 0.231
Cd2 0.000 0.500 0.769
Cd3 0.500 0.000 0.269
Cd4 0.500 0.000 0.731

Summary:
formation enthalpy at 0 K	-0.7	eV/f.u.
space-group type	No. 71



An optimized crystal structure of Y6ZnCd, computed with PBE.

Unit cell a=5.118 b=5.118 c=17.598 alpha=90.00 beta=90.00 gamma=90.00
Sites, in units of the cell vectors:
Y1 0.000 0.000 0.250
Y2 0.000 0.000 0.750
Y3 0.000 0.500 0.107
Y4 0.000 0.500 0.393
Y5 0.000 0.500 0.607
Y6 0.000 0.500 0.893
Y7 0.500 0.000 0.107
Y8 0.500 0.000 0.393
Y9 0.500 0.000 0.607
Y10 0.500 0.000 0.893
Y11 0.500 0.500 0.250
Y12 0.500 0.500 0.750
Zn1 0.000 0.000 0.000
Zn2 0.500 0.500 0.500
Cd1 0.000 0.000 0.500
Cd2 0.500 0.500 0.000

Summary:
formation enthalpy at 0 K	-1.2	eV/f.u.
space-group type	No. 139



An optimized crystal structure of YZn2Cd, computed with PBE.

Unit cell a=3.307 b=5.090 c=11.427 alpha=90.00 beta=90.00 gamma=90.00
Sites, in units of the cell vectors:
Y1 0.000 0.000 0.000
Y2 0.500 0.500 0.500
Zn1 0.000 0.000 0.266
Zn2 0.000 0.000 0.734
Zn3 0.500 0.500 0.234
Zn4 0.500 0.500 0.766
Cd1 0.000 0.000 0.500
Cd2 0.500 0.500 0.000

Summary:
formation enthalpy at 0 K	0.8	eV/f.u.
space-group type	No. 71



An optimized crystal structure of YZn3Cd, computed with PBE.

Unit cell a=4.888 b=4.888 c=4.888 alpha=90.00 beta=90.00 gamma=90.00
Sites, in units of the cell vectors:
Y1 0.000 0.000 0.000
Zn1 0.000 0.500 0.500
Zn2 0.500 0.000 0.500
Zn3 0.500 0.500 0.000
Cd1 0.500 0.500 0.500

Summary:
formation enthalpy at 0 K	1.4	eV/f.u.
E above lowest polymorph	506.3	meV per atom
space-group type	No. 221



The calculation returns the following V values, one per record and in order: 20.62 22.37 29.44 19.34 22.74 28.81 24.04 23.36 Å³ per atom.